Entry from Alexandria: a geometry-optimized NiOsAu2 structure (PBE-GGA).

total DFT energy (no corrections) = -21.6 eV for the cell shown
spin magnetization = 0.527 μB/f.u.
energy above the lowest structure with this stoichiometry = 0.2311 eV per atom
calculated formation energy = 0.5027 eV/atom

Lattice parameters (Å, degrees): 2.720 4.928 5.611 55.17 90.00 90.00
Site moments in Bohr magnetons follow the coordinates.
Fractional coordinates of all 4 atoms:
Au: 0.000 0.000 0.000  0.03
Au: 0.500 0.500 0.000  0.01
Ni: 0.500 0.500 0.500  0.32
Os: 0.000 0.000 0.500  0.18

---

Entry from Alexandria: a geometry-optimized NiOsAu2 structure (PBE-GGA).

total DFT energy (no corrections) = -21.3 eV for the cell shown
spin magnetization = 0.915 μB/f.u.
energy above the lowest structure with this stoichiometry = 0.3023 eV per atom
calculated formation energy = 0.5738 eV/atom

Lattice parameters (Å, degrees): 5.489 5.489 5.489 151.05 128.46 60.20
Site moments in Bohr magnetons follow the coordinates.
Fractional coordinates of all 4 atoms:
Au: 0.988 0.988 0.000  0.02
Au: 0.512 0.512 0.000  0.02
Ni: 0.750 0.250 0.500  0.36
Os: 0.250 0.750 0.500  0.50

---

Entry from Alexandria: a geometry-optimized NiOs2Au structure (PBE-GGA).

total DFT energy (no corrections) = -29.4 eV for the cell shown
spin magnetization = 0.000 μB/f.u.
energy above the lowest structure with this stoichiometry = 0.2921 eV per atom
calculated formation energy = 0.5348 eV/atom

Lattice parameters (Å, degrees): 2.919 2.919 6.765 90.00 90.00 90.00
Fractional coordinates of all 4 atoms:
Au: 0.500 0.500 0.250
Ni: 0.500 0.500 0.750
Os: 0.000 0.000 0.954
Os: 0.000 0.000 0.546